A geometry-optimized Tb5HoMg structure, computed with GGA-PBE.

a b c (Å): 5.4864 6.5832 13.1622
angles (deg): 94.88 90.05 114.58
Space group P-1 (No. 2)
Asymmetric unit:
1 Tb 0.0656 0.1312 0.1331 x2
2 Tb 0.0655 0.1311 0.6326 x2
3 Tb 0.2410 0.4825 0.4255 x2
4 Tb 0.2414 0.4833 0.9252 x2
5 Tb 0.3640 0.7274 0.1963 x2
6 Ho 0.3640 0.7275 0.6961 x2
7 Mg 0.5000 0.0000 0.0000 x1
8 Mg 0.5000 0.0000 0.5000 x1

Results
Final energy (eV/atom): -4.172
DFT formation energy (eV per atom): 0.0175

=====

A geometry-optimized Li2Pd3 structure, computed with GGA-PBE.

a b c (Å): 6.1441 6.1441 3.8220
angles (deg): 90.00 90.00 90.00
Space group P4/m (No. 83)
Asymmetric unit:
1 Li 0.1126 0.6991 0.0000 x4
2 Pd 0.0000 0.0000 0.5000 x1
3 Pd 0.1930 0.3980 0.5000 x4
4 Pd 0.5000 0.5000 0.0000 x1

Results
Final energy (eV/atom): -4.215
DFT formation energy (eV per atom): -0.3336

=====

A geometry-optimized Li2TePbS structure, computed with GGA-PBE.

a b c (Å): 4.6741 4.6741 5.8480
angles (deg): 90.00 90.00 90.00
Space group P4/mmm (No. 123)
Asymmetric unit:
1 Li 0.0000 0.5000 0.0000 x2
2 Te 0.0000 0.0000 0.5000 x1
3 Pb 0.5000 0.5000 0.5000 x1
4 S 0.5000 0.5000 0.0000 x1

Results
Final energy (eV/atom): -3.780
Formation energy from raw total energies (eV per atom): -0.82

=====

Which value of final energy does entry 2 give?
-4.215 eV/atom

=====

What is the final energy in the third record?
-3.780 eV/atom

=====

Which of these has the lowest final energy?
Li2Pd3